DFT (GGA-PBE) results for an optimized crystal structure of LiNpSn2.

POSCAR file:
```
LiNpSn2
1.0
3.182 0.000 0.000
1.591 2.755 0.000
1.591 0.918 10.304
Np Sn Li
1 2 1
Cartesian
3.182 1.837 5.152
4.772 2.755 7.936
1.591 0.918 2.369
0.000 0.000 0.000
```

Values from the calculation:
ΔE to the lowest computed polymorph, eV/atom: 0.080
DFT formation energy, eV/atom: -0.064
E, eV per atom: -5.78
Theoretical density, kg/m³: 8849
Space group: R-3m, No. 166